a.
## NbSnGe (PBE)

Data for an optimized crystal structure of NbSnGe.

Cell lengths 4.5621, 4.5621, 4.5621 Å; angles 60.00, 60.00, 60.00 degrees
With the nearest neighbours (Å) after each atom.
Fractional positions:
1 Nb 0.0000 0.0000 0.0000  4 Ge 2.79
2 Sn 0.5000 0.5000 0.5000  4 Ge 2.79
3 Ge 0.2500 0.2500 0.2500  4 Nb 2.79, 4 Sn 2.79

***

b.
## NbSnGe (PBE)

Data for an optimized crystal structure of NbSnGe.

Cell lengths 4.6074, 4.6074, 4.6074 Å; angles 60.00, 60.00, 60.00 degrees
With the nearest neighbours (Å) after each atom.
Fractional positions:
1 Nb 0.0000 0.0000 0.0000  4 Ge 2.82, 4 Sn 2.82
2 Sn 0.2500 0.2500 0.2500  4 Nb 2.82
3 Ge 0.7500 0.7500 0.7500  4 Nb 2.82

***

b has the most favorable energy; the next structure is 109 meV/atom above.